# SCAN CaTc2Cl, single point on PBEsol structure
# ΔE to the lowest computed polymorph: 0.908 eV per atom
data_CaTc2Cl
_chemical_formula_sum 'Ca4 Tc8 Cl4'
_cell_length_a 6.4096
_cell_length_b 6.4096
_cell_length_c 6.4096
_cell_angle_alpha 90.00
_cell_angle_beta 90.00
_cell_angle_gamma 90.00
_symmetry_space_group_name_H-M 'F -4 3 m'
_symmetry_Int_Tables_number 216
_symmetry_space_group_name_Hall 'F -4 2 3'
loop_
_atom_site_label
_atom_site_type_symbol
_atom_site_fract_x
_atom_site_fract_y
_atom_site_fract_z
Ca1 Ca 0.0000 0.0000 0.0000
Tc1 Tc 0.0000 0.0000 0.5000
Tc2 Tc 0.2500 0.2500 0.2500
Cl1 Cl 0.2500 0.2500 0.7500

=====

# SCAN Ca3TeCl, single point on PBEsol structure
# final energy: -78.42 eV per formula unit
data_Ca3TeCl
_chemical_formula_sum 'Ca3 Te1 Cl1'
_cell_length_a 5.2851
_cell_length_b 5.2851
_cell_length_c 5.2851
_cell_angle_alpha 90.00
_cell_angle_beta 90.00
_cell_angle_gamma 90.00
_symmetry_space_group_name_H-M 'P m -3 m'
_symmetry_Int_Tables_number 221
_symmetry_space_group_name_Hall '-P 4 2 3'
loop_
_atom_site_label
_atom_site_type_symbol
_atom_site_fract_x
_atom_site_fract_y
_atom_site_fract_z
Ca1 Ca 0.0000 0.0000 0.5000
Te1 Te 0.5000 0.5000 0.5000
Cl1 Cl 0.0000 0.0000 0.0000

=====

# SCAN CaTe3Cl, single point on PBEsol structure
# final energy: -129.98 eV per formula unit
data_CaTe3Cl
_chemical_formula_sum 'Ca1 Te3 Cl1'
_cell_length_a 5.3354
_cell_length_b 5.3354
_cell_length_c 5.3354
_cell_angle_alpha 90.00
_cell_angle_beta 90.00
_cell_angle_gamma 90.00
_symmetry_space_group_name_H-M 'P m -3 m'
_symmetry_Int_Tables_number 221
_symmetry_space_group_name_Hall '-P 4 2 3'
loop_
_atom_site_label
_atom_site_type_symbol
_atom_site_fract_x
_atom_site_fract_y
_atom_site_fract_z
Ca1 Ca 0.0000 0.0000 0.0000
Te1 Te 0.0000 0.5000 0.5000
Cl1 Cl 0.5000 0.5000 0.5000

=====

# SCAN CaYTeCl2, single point on PBEsol structure
# final energy: -97.45 eV per formula unit
data_CaYTeCl2
_chemical_formula_sum 'Ca1 Y1 Te1 Cl2'
_cell_length_a 4.8611
_cell_length_b 4.8611
_cell_length_c 8.0425
_cell_angle_alpha 90.00
_cell_angle_beta 90.00
_cell_angle_gamma 90.00
_symmetry_space_group_name_H-M 'P 4/m m m'
_symmetry_Int_Tables_number 123
_symmetry_space_group_name_Hall '-P 4 2'
loop_
_atom_site_label
_atom_site_type_symbol
_atom_site_fract_x
_atom_site_fract_y
_atom_site_fract_z
Ca1 Ca 0.0000 0.0000 0.0000
Y1 Y 0.0000 0.0000 0.5000
Te1 Te 0.5000 0.5000 0.5000
Cl1 Cl 0.0000 0.5000 0.0000

=====

# SCAN CaTlCl, single point on PBEsol structure
# ΔE to the lowest computed polymorph: 0.000 eV per atom
data_CaTlCl
_chemical_formula_sum 'Ca4 Tl4 Cl4'
_cell_length_a 7.1958
_cell_length_b 7.1958
_cell_length_c 7.1958
_cell_angle_alpha 90.00
_cell_angle_beta 90.00
_cell_angle_gamma 90.00
_symmetry_space_group_name_H-M 'F -4 3 m'
_symmetry_Int_Tables_number 216
_symmetry_space_group_name_Hall 'F -4 2 3'
loop_
_atom_site_label
_atom_site_type_symbol
_atom_site_fract_x
_atom_site_fract_y
_atom_site_fract_z
Ca1 Ca 0.0000 0.0000 0.0000
Tl1 Tl 0.2500 0.2500 0.7500
Cl1 Cl 0.2500 0.2500 0.2500

=====

# SCAN CaTlCl, single point on PBEsol structure
# ΔE to the lowest computed polymorph: 0.205 eV per atom
data_CaTlCl
_chemical_formula_sum 'Ca4 Tl4 Cl4'
_cell_length_a 7.3712
_cell_length_b 7.3712
_cell_length_c 7.3712
_cell_angle_alpha 90.00
_cell_angle_beta 90.00
_cell_angle_gamma 90.00
_symmetry_space_group_name_H-M 'F -4 3 m'
_symmetry_Int_Tables_number 216
_symmetry_space_group_name_Hall 'F -4 2 3'
loop_
_atom_site_label
_atom_site_type_symbol
_atom_site_fract_x
_atom_site_fract_y
_atom_site_fract_z
Ca1 Ca 0.0000 0.0000 0.0000
Tl1 Tl 0.2500 0.2500 0.7500
Cl1 Cl 0.0000 0.0000 0.5000

=====

# SCAN CaTlCl3, single point on PBEsol structure
# final energy: -115.97 eV per formula unit
data_CaTlCl3
_chemical_formula_sum 'Ca1 Tl1 Cl3'
_cell_length_a 5.2746
_cell_length_b 5.2746
_cell_length_c 5.2746
_cell_angle_alpha 90.00
_cell_angle_beta 90.00
_cell_angle_gamma 90.00
_symmetry_space_group_name_H-M 'P m -3 m'
_symmetry_Int_Tables_number 221
_symmetry_space_group_name_Hall '-P 4 2 3'
loop_
_atom_site_label
_atom_site_type_symbol
_atom_site_fract_x
_atom_site_fract_y
_atom_site_fract_z
Ca1 Ca 0.0000 0.0000 0.0000
Tl1 Tl 0.5000 0.5000 0.5000
Cl1 Cl 0.0000 0.0000 0.5000

=====

# SCAN CaTlCl3, single point on PBEsol structure
# final energy: -116.22 eV per formula unit
data_CaTlCl3
_chemical_formula_sum 'Ca4 Tl4 Cl12'
_cell_length_a 4.0250
_cell_length_b 13.2799
_cell_length_c 10.1843
_cell_angle_alpha 90.00
_cell_angle_beta 90.00
_cell_angle_gamma 90.00
_symmetry_space_group_name_H-M 'C m c m'
_symmetry_Int_Tables_number 63
_symmetry_space_group_name_Hall '-C 2c 2'
loop_
_atom_site_label
_atom_site_type_symbol
_atom_site_fract_x
_atom_site_fract_y
_atom_site_fract_z
Ca1 Ca 0.0000 0.0000 0.0000
Tl1 Tl 0.0000 0.2577 0.2500
Cl1 Cl 0.0000 0.0659 0.7500
Cl2 Cl 0.0000 0.3663 0.5472

=====

# SCAN CaTlZnCl2, single point on PBEsol structure
# final energy: -116.53 eV per formula unit
data_CaTlZnCl2
_chemical_formula_sum 'Ca1 Tl1 Zn1 Cl2'
_cell_length_a 5.1077
_cell_length_b 5.1077
_cell_length_c 6.2658
_cell_angle_alpha 90.00
_cell_angle_beta 90.00
_cell_angle_gamma 90.00
_symmetry_space_group_name_H-M 'P 4/m m m'
_symmetry_Int_Tables_number 123
_symmetry_space_group_name_Hall '-P 4 2'
loop_
_atom_site_label
_atom_site_type_symbol
_atom_site_fract_x
_atom_site_fract_y
_atom_site_fract_z
Ca1 Ca 0.0000 0.0000 0.0000
Tl1 Tl 0.5000 0.5000 0.5000
Zn1 Zn 0.0000 0.0000 0.5000
Cl1 Cl 0.0000 0.5000 0.0000

=====

# SCAN Ca3WCl, single point on PBEsol structure
# ΔE to the lowest computed polymorph: 0.000 eV per atom
data_Ca3WCl
_chemical_formula_sum 'Ca3 W1 Cl1'
_cell_length_a 5.1887
_cell_length_b 5.1887
_cell_length_c 5.1887
_cell_angle_alpha 90.00
_cell_angle_beta 90.00
_cell_angle_gamma 90.00
_symmetry_space_group_name_H-M 'P m -3 m'
_symmetry_Int_Tables_number 221
_symmetry_space_group_name_Hall '-P 4 2 3'
loop_
_atom_site_label
_atom_site_type_symbol
_atom_site_fract_x
_atom_site_fract_y
_atom_site_fract_z
Ca1 Ca 0.0000 0.0000 0.5000
W1 W 0.5000 0.5000 0.5000
Cl1 Cl 0.0000 0.0000 0.0000

=====

# SCAN CaW2Cl, single point on PBEsol structure
# ΔE to the lowest computed polymorph: 0.000 eV per atom
data_CaW2Cl
_chemical_formula_sum 'Ca2 W4 Cl2'
_cell_length_a 12.6365
_cell_length_b 3.0379
_cell_length_c 4.2469
_cell_angle_alpha 90.00
_cell_angle_beta 109.54
_cell_angle_gamma 90.00
_symmetry_space_group_name_H-M 'C 1 2/m 1'
_symmetry_Int_Tables_number 12
loop_
_symmetry_equiv_pos_as_xyz
'x,y,z'
'-x,-y,-z'
'-x,y,-z'
'x,-y,z'
'x+1/2,y+1/2,z'
'-x+1/2,-y+1/2,-z'
'-x+1/2,y+1/2,-z'
'x+1/2,-y+1/2,z'
loop_
_atom_site_label
_atom_site_type_symbol
_atom_site_fract_x
_atom_site_fract_y
_atom_site_fract_z
Ca1 Ca 0.0000 0.0000 0.0000
W1 W 0.2321 0.0000 0.7323
Cl1 Cl 0.0000 0.5000 0.5000

=====

# SCAN CaW2Cl, single point on PBEsol structure
# ΔE to the lowest computed polymorph: 1.551 eV per atom
data_CaW2Cl
_chemical_formula_sum 'Ca1 W2 Cl1'
_cell_length_a 5.0171
_cell_length_b 5.0171
_cell_length_c 2.8252
_cell_angle_alpha 90.00
_cell_angle_beta 90.00
_cell_angle_gamma 90.00
_symmetry_space_group_name_H-M 'P 4/m m m'
_symmetry_Int_Tables_number 123
_symmetry_space_group_name_Hall '-P 4 2'
loop_
_atom_site_label
_atom_site_type_symbol
_atom_site_fract_x
_atom_site_fract_y
_atom_site_fract_z
Ca1 Ca 0.0000 0.0000 0.0000
W1 W 0.0000 0.5000 0.5000
Cl1 Cl 0.5000 0.5000 0.0000

=====

| no. | V (Å³ per atom) |
| --- | --- |
| 1 | 16.458 |
| 2 | 29.524 |
| 3 | 30.375 |
| 4 | 38.010 |
| 5 | 31.049 |
| 6 | 33.376 |
| 7 | 29.350 |
| 8 | 27.218 |
| 9 | 32.693 |
| 10 | 27.938 |
| 11 | 19.206 |
| 12 | 17.778 |